Entry 1:
The following is a GGA-PBE calculation of BeNb2Cl after structural relaxation, from the Alexandria database.

```
8
Lattice="5.0078 0.0000 0.0000 0.0000 5.0078 0.0000 2.5039 2.5039 6.1674" Properties=species:S:1:pos:R:3 pbc="T T T"
Nb 3.5142 1.2519 1.5418
Nb 3.7558 3.9975 4.6255
Cl 5.0078 2.5039 3.0837
Be 2.5039 5.0078 3.0837
Be 2.5039 2.5039 0.0000
Nb 6.2597 6.0181 4.6255
Cl 0.0000 0.0000 0.0000
Nb 1.4936 3.7558 1.5418
```

Summary:
ΔE_f (raw): 0.830 eV/atom
N(E_F): 0.631 states/eV per atom
Mass density: 4.9 g/cm3
Energy above the most stable polymorph in this dataset: 1.72 eV/f.u.

---

Entry 2:
The following is a GGA-PBE calculation of SrBr after structural relaxation, from the Alexandria database.

```
2
Lattice="5.0627 0.0000 0.0000 2.5314 4.3844 0.0000 2.5314 1.4615 4.1337" Properties=species:S:1:pos:R:3 pbc="T T T"
Sr 7.5941 4.3844 3.1003
Br 0.0000 0.0000 0.0000
```

Summary:
ΔE_f (raw): -1.300 eV/atom
N(E_F): 0.540 states/eV per atom
Mass density: 3.0 g/cm3

---

Entry 3:
The following is a GGA-PBE calculation of K4AgTe after structural relaxation, from the Alexandria database.

```
6
Lattice="-5.6236 -2.8924 -3.0357 -6.0528 -0.4313 3.5191 -5.4362 4.0216 -1.8659" Properties=species:S:1:pos:R:3 pbc="T T T"
K -6.4376 0.2625 -0.5201
K -9.1298 2.2542 -1.4441
Te -12.8345 0.5234 -1.0368
K -9.2227 -1.1700 -2.0235
K -9.4352 0.0489 1.2228
Ag 0.0000 0.0000 0.0000
```

Summary:
ΔE_f (raw): 0.050 eV/atom
N(E_F): 0.247 states/eV per atom
Mass density: 2.7 g/cm3

---

Entry 4:
The following is a GGA-PBE calculation of Ga2ReAuI after structural relaxation, from the Alexandria database.

```
5
Lattice="5.0099 0.0000 0.0000 0.0000 5.0754 0.0000 0.0000 0.0000 5.0099" Properties=species:S:1:pos:R:3 pbc="T T T"
Re 0.0000 0.0000 0.0000
Ga 2.5050 0.0000 0.0000
I 0.0000 2.5377 0.0000
Au 2.5050 2.5377 2.5050
Ga 0.0000 0.0000 2.5050
```

Summary:
ΔE_f (raw): 0.693 eV/atom
N(E_F): 0.696 states/eV per atom
Mass density: 8.5 g/cm3